[1]
SrCuPAu: optimized geometry, GGA-PBE.

CIF file:
```
data_SrCuPAu
_chemical_formula_sum 'Sr2 Cu2 P2 Au2'
_cell_length_a 3.9558
_cell_length_b 3.9558
_cell_length_c 10.7629
_cell_angle_alpha 90.00
_cell_angle_beta 90.00
_cell_angle_gamma 90.00
_space_group_name_H-M_alt 'P 4/n m m'
_space_group_IT_number 129
loop_
_space_group_symop_operation_xyz
'x,y,z'
'-x,-y,-z'
'-y+1/2,x,z'
'y+1/2,-x,-z'
'-x+1/2,-y+1/2,z'
'x+1/2,y+1/2,-z'
'y,-x+1/2,z'
'-y,x+1/2,-z'
'x+1/2,-y,-z'
'-x+1/2,y,z'
'-y,-x,-z'
'y,x,z'
'-x,y+1/2,-z'
'x,-y+1/2,z'
'y+1/2,x+1/2,-z'
'-y+1/2,-x+1/2,z'
loop_
_atom_site_label
_atom_site_fract_x
_atom_site_fract_y
_atom_site_fract_z
Sr1 0.2500 0.2500 0.2481
Cu1 0.2500 0.7500 0.0000
P1 0.2500 0.2500 0.8755
Au1 0.2500 0.7500 0.5000
```

**E_form**: -2.4 eV/f.u.
**Total energy**: -4.219 eV/atom

=====

[2]
Sr3Ag3Au2: optimized geometry, GGA-PBE.

CIF file:
```
data_Sr3Ag3Au2
_chemical_formula_sum 'Sr12 Ag12 Au8'
_cell_length_a 4.7112
_cell_length_b 11.4366
_cell_length_c 16.3722
_cell_angle_alpha 90.00
_cell_angle_beta 90.00
_cell_angle_gamma 90.00
_space_group_name_H-M_alt 'C m c m'
_space_group_IT_number 63
_space_group_name_Hall '-C 2c 2'
loop_
_atom_site_label
_atom_site_fract_x
_atom_site_fract_y
_atom_site_fract_z
Sr1 0.0000 0.0976 0.0990
Sr2 0.0000 0.3688 0.2500
Ag1 0.0000 0.3442 0.7500
Ag2 0.0000 0.3908 0.0401
Au1 0.0000 0.1985 0.6094
```

**E_form**: -3.9 eV/f.u.
**Total energy**: -3.006 eV/atom

=====

[3]
AlCo2: optimized geometry, GGA-PBE.

CIF file:
```
data_AlCo2
_chemical_formula_sum 'Al4 Co8'
_cell_length_a 2.6172
_cell_length_b 2.6172
_cell_length_c 21.3769
_cell_angle_alpha 90.00
_cell_angle_beta 90.00
_cell_angle_gamma 90.00
_space_group_name_H-M_alt 'I 41/a m d'
_space_group_IT_number 141
loop_
_space_group_symop_operation_xyz
'x,y,z'
'-x,-y,-z'
'-y+1/4,x+3/4,z+1/4'
'y+1/4,-x+3/4,-z+1/4'
'-x+1/2,-y,z+1/2'
'x+1/2,y,-z+1/2'
'y+1/4,-x+1/4,z+3/4'
'-y+1/4,x+1/4,-z+3/4'
'x,-y,-z'
'-x,y,z'
'-y+1/4,-x+1/4,-z+3/4'
'y+1/4,x+1/4,z+3/4'
'-x+1/2,y,-z+1/2'
'x+1/2,-y,z+1/2'
'y+1/4,x+3/4,-z+1/4'
'-y+1/4,-x+3/4,z+1/4'
'x+1/2,y+1/2,z+1/2'
'-x+1/2,-y+1/2,-z+1/2'
'-y+3/4,x+1/4,z+3/4'
'y+3/4,-x+1/4,-z+3/4'
'-x,-y+1/2,z'
'x,y+1/2,-z'
'y+3/4,-x+3/4,z+1/4'
'-y+3/4,x+3/4,-z+1/4'
'x+1/2,-y+1/2,-z+1/2'
'-x+1/2,y+1/2,z+1/2'
'-y+3/4,-x+3/4,-z+1/4'
'y+3/4,x+3/4,z+1/4'
'-x,y+1/2,-z'
'x,-y+1/2,z'
'y+3/4,x+1/4,-z+3/4'
'-y+3/4,-x+1/4,z+3/4'
loop_
_atom_site_label
_atom_site_fract_x
_atom_site_fract_y
_atom_site_fract_z
Al1 0.0000 0.2500 0.3750
Co1 0.0000 0.2500 0.7957
```

**E_form**: 0.0 eV/f.u.
**Total energy**: -5.990 eV/atom

=====

[4]
MgAl2P: optimized geometry, GGA-PBE.

CIF file:
```
data_MgAl2P
_chemical_formula_sum 'Mg1 Al2 P1'
_cell_length_a 3.4285
_cell_length_b 3.4285
_cell_length_c 6.0324
_cell_angle_alpha 90.00
_cell_angle_beta 90.00
_cell_angle_gamma 90.00
_space_group_name_H-M_alt 'P 4 m m'
_space_group_IT_number 99
_space_group_name_Hall 'P 4 -2'
loop_
_atom_site_label
_atom_site_fract_x
_atom_site_fract_y
_atom_site_fract_z
Mg1 0.0000 0.0000 0.0000
Al1 0.0000 0.0000 0.4680
Al2 0.5000 0.5000 0.7209
P1 0.5000 0.5000 0.3118
```

**E_form**: -0.2 eV/f.u.
**Total energy**: -3.668 eV/atom

=====

[5]
Rb4Tb3MnSe8: optimized geometry, GGA-PBE.

CIF file:
```
data_Rb4Tb3MnSe8
_chemical_formula_sum 'Rb12 Tb9 Mn3 Se24'
_cell_length_a 8.3770
_cell_length_b 8.3770
_cell_length_c 23.9431
_cell_angle_alpha 90.00
_cell_angle_beta 90.00
_cell_angle_gamma 120.00
_space_group_name_H-M_alt 'R -3 m'
_space_group_IT_number 166
_space_group_name_Hall '-R 3 2"'
loop_
_atom_site_label
_atom_site_fract_x
_atom_site_fract_y
_atom_site_fract_z
Rb1 0.0000 0.0000 0.0000
Rb2 0.0000 0.5000 0.0000
Tb1 0.0000 0.5000 0.5000
Mn1 0.0000 0.0000 0.5000
Se1 0.0000 0.0000 0.2329
Se2 0.0175 0.5088 0.2295
```

**Total energy**: -4.868 eV/atom

=====

[6]
TeRu: optimized geometry, GGA-PBE.

CIF file:
```
data_TeRu
_chemical_formula_sum 'Te2 Ru2'
_cell_length_a 4.1196
_cell_length_b 4.1196
_cell_length_c 6.3457
_cell_angle_alpha 90.00
_cell_angle_beta 90.00
_cell_angle_gamma 90.00
_space_group_name_H-M_alt 'P 4/n m m'
_space_group_IT_number 129
loop_
_space_group_symop_operation_xyz
'x,y,z'
'-x,-y,-z'
'-y+1/2,x,z'
'y+1/2,-x,-z'
'-x+1/2,-y+1/2,z'
'x+1/2,y+1/2,-z'
'y,-x+1/2,z'
'-y,x+1/2,-z'
'x+1/2,-y,-z'
'-x+1/2,y,z'
'-y,-x,-z'
'y,x,z'
'-x,y+1/2,-z'
'x,-y+1/2,z'
'y+1/2,x+1/2,-z'
'-y+1/2,-x+1/2,z'
loop_
_atom_site_label
_atom_site_fract_x
_atom_site_fract_y
_atom_site_fract_z
Te1 0.2500 0.2500 0.2460
Ru1 0.2500 0.7500 0.0000
```

**Total energy**: -6.319 eV/atom

=====

no.,total moment (μB/cell)
1,0.00
2,0.00
3,8.90
4,0.00
5,11.98
6,0.00